Record 1
{
  "formula": "La3Zn5S12",
  "functional": "PBE",
  "state": "optimized geometry",
  "formation_energy_uncorrected_ev_per_atom": -0.92,
  "sg": "Ia-3d, No. 230",
  "crystal_system": "cubic",
  "lattice": [[-7.7417, 7.3694, 7.8969], [-4.6578, -12.4394, -0.4123], [12.4033, -0.0700, 4.7704]],
  "species": ["La", "La", "La", "La", "La", "La", "La", "La", "La", "La", "La", "La", "S", "S", "S", "S", "S", "S", "S", "S", "S", "S", "S", "S", "S", "S", "S", "S", "S", "S", "S", "S", "S", "S", "S", "S", "S", "S", "S", "S", "S", "S", "S", "S", "S", "S", "S", "S", "S", "S", "S", "S", "S", "S", "S", "S", "S", "S", "S", "S", "Zn", "Zn", "Zn", "Zn", "Zn", "Zn", "Zn", "Zn", "Zn", "Zn", "Zn", "Zn", "Zn", "Zn", "Zn", "Zn", "Zn", "Zn", "Zn", "Zn"],
  "frac_coords": [[0.6250, 0.2500, 0.3750], [0.2500, 0.1250, 0.3750], [0.2500, 0.6250, 0.8750], [0.6250, 0.3750, 0.7500], [0.8750, 0.1250, 0.2500], [0.3750, 0.6250, 0.2500], [0.7500, 0.3750, 0.1250], [0.3750, 0.7500, 0.6250], [0.1250, 0.8750, 0.7500], [0.7500, 0.8750, 0.6250], [0.1250, 0.2500, 0.8750], [0.8750, 0.7500, 0.1250], [0.7913, 0.4691, 0.3791], [0.4691, 0.7913, 0.8791], [0.1778, 0.0878, 0.7087], [0.3791, 0.4100, 0.0878], [0.9122, 0.8222, 0.7913], [0.4691, 0.6778, 0.0900], [0.2913, 0.4122, 0.8222], [0.2087, 0.6778, 0.0878], [0.9691, 0.3791, 0.2913], [0.5309, 0.3222, 0.9100], [0.3791, 0.9691, 0.7913], [0.0878, 0.9100, 0.3791], [0.2087, 0.5309, 0.6209], [0.8791, 0.5878, 0.9100], [0.5900, 0.9691, 0.6778], [0.1209, 0.7087, 0.5309], [0.6778, 0.2087, 0.5878], [0.9122, 0.0900, 0.6209], [0.9100, 0.0878, 0.8791], [0.4122, 0.1209, 0.5900], [0.0309, 0.4100, 0.8222], [0.6209, 0.0309, 0.2087], [0.3222, 0.7913, 0.4122], [0.5878, 0.8791, 0.4100], [0.5900, 0.6209, 0.4122], [0.3222, 0.5309, 0.4100], [0.8222, 0.9100, 0.0309], [0.0900, 0.1778, 0.4691], [0.2913, 0.8791, 0.9691], [0.4100, 0.3791, 0.5878], [0.7913, 0.3222, 0.9122], [0.6778, 0.4691, 0.5900], [0.5878, 0.7087, 0.6778], [0.4122, 0.2913, 0.3222], [0.8791, 0.2913, 0.4691], [0.6209, 0.5900, 0.9122], [0.4100, 0.0309, 0.3222], [0.1209, 0.4122, 0.0900], [0.8222, 0.9122, 0.2913], [0.0900, 0.9122, 0.1209], [0.7087, 0.5878, 0.1778], [0.0309, 0.6209, 0.7087], [0.5309, 0.2087, 0.1209], [0.7087, 0.1209, 0.0309], [0.9100, 0.8222, 0.5309], [0.9691, 0.5900, 0.1778], [0.1778, 0.0900, 0.9691], [0.0878, 0.1778, 0.2087], [0.7500, 0.6250, 0.3750], [0.0000, 0.5000, 0.0000], [0.2500, 0.8750, 0.1250], [0.5000, 0.5000, 0.5000], [0.1250, 0.7500, 0.3750], [0.0000, 0.0000, 0.0000], [0.0000, 0.5000, 0.5000], [0.3750, 0.2500, 0.1250], [0.1250, 0.3750, 0.2500], [0.5000, 0.5000, 0.0000], [0.8750, 0.6250, 0.7500], [0.3750, 0.1250, 0.7500], [0.0000, 0.0000, 0.5000], [0.8750, 0.2500, 0.6250], [0.2500, 0.3750, 0.6250], [0.5000, 0.0000, 0.5000], [0.7500, 0.1250, 0.8750], [0.6250, 0.8750, 0.2500], [0.5000, 0.0000, 0.0000], [0.6250, 0.7500, 0.8750]]
}



Record 2
{
  "formula": "AsOs2C",
  "functional": "PBE",
  "state": "optimized geometry",
  "ef_ev_per_atom": 0.61,
  "sg": "I-42d, No. 122",
  "de_polymorph_mev_per_atom": 0,
  "crystal_system": "tetragonal",
  "lattice": [[5.1150, 0.0000, 0.0000], [0.0000, 5.1150, 0.0000], [2.5575, 2.5575, 4.8616]],
  "species": ["Os", "Os", "Os", "Os", "C", "C", "As", "As"],
  "frac_coords": [[0.5510, 0.1250, 0.2500], [0.8750, 0.8010, 0.7500], [0.1990, 0.6250, 0.2500], [0.3750, 0.4490, 0.7500], [0.2500, 0.7500, 0.5000], [0.5000, 0.5000, 0.0000], [0.0000, 0.0000, 0.0000], [0.7500, 0.2500, 0.5000]]
}



Record 3
{
  "formula": "Nd4ZnHg",
  "functional": "PBE",
  "state": "optimized geometry",
  "ef_ev_per_atom": -0.10,
  "sg": "P2_1/c, No. 14",
  "de_polymorph_mev_per_atom": 144,
  "crystal_system": "monoclinic",
  "lattice": [[6.2566, 0.0000, -0.7278], [0.0000, 9.3224, 0.0000], [-1.0702, 0.0000, 6.2456]],
  "species": ["Nd", "Nd", "Nd", "Nd", "Nd", "Nd", "Nd", "Nd", "Zn", "Zn", "Hg", "Hg"],
  "frac_coords": [[0.0877, 0.6583, 0.1067], [0.3882, 0.3322, 0.4041], [0.9123, 0.3417, 0.8933], [0.8882, 0.1678, 0.4041], [0.6118, 0.6678, 0.5959], [0.1118, 0.8322, 0.5959], [0.5877, 0.8417, 0.1067], [0.4123, 0.1583, 0.8933], [0.5000, 0.0000, 0.5000], [0.0000, 0.5000, 0.5000], [0.5000, 0.5000, 0.0000], [0.0000, 0.0000, 0.0000]]
}



Record 4
{
  "formula": "Ca2NbInAu",
  "functional": "PBE",
  "state": "optimized geometry",
  "ef_ev_per_atom": 0.72,
  "sg": "P4/mmm, No. 123",
  "crystal_system": "tetragonal",
  "lattice": [[5.8115, 0.0000, 0.0000], [0.0000, 5.2968, 0.0000], [0.0000, 0.0000, 5.8115]],
  "species": ["Nb", "Ca", "Ca", "In", "Au"],
  "frac_coords": [[0.0000, 0.5000, 0.0000], [0.0000, 0.0000, 0.5000], [0.5000, 0.0000, 0.0000], [0.0000, 0.0000, 0.0000], [0.5000, 0.5000, 0.5000]]
}



Record 5
{
  "formula": "ZrGa3Ge",
  "functional": "PBE",
  "state": "optimized geometry",
  "ef_ev_per_atom": 0.68,
  "sg": "Pm-3m, No. 221",
  "de_polymorph_mev_per_atom": 109,
  "crystal_system": "cubic",
  "lattice": [[5.2002, 0.0000, 0.0000], [0.0000, 5.2002, 0.0000], [0.0000, 0.0000, 5.2002]],
  "species": ["Ge", "Zr", "Ga", "Ga", "Ga"],
  "frac_coords": [[0.5000, 0.5000, 0.5000], [0.0000, 0.0000, 0.0000], [0.5000, 0.0000, 0.0000], [0.0000, 0.5000, 0.0000], [0.0000, 0.0000, 0.5000]]
}



Record 6
{
  "formula": "AcHo2Zn",
  "functional": "PBE",
  "state": "optimized geometry",
  "ef_ev_per_atom": 0.13,
  "sg": "R-3m, No. 166",
  "de_polymorph_mev_per_atom": 254,
  "crystal_system": "trigonal",
  "lattice": [[-1.2710, -2.9689, -1.5796], [2.0090, -1.7541, -2.4108], [4.7339, -7.9560, 7.0530]],
  "species": ["Zn", "Ho", "Ho", "Ac"],
  "frac_coords": [[0.5000, 0.5000, 0.5000], [0.8954, 0.8954, 0.3138], [0.1046, 0.1046, 0.6862], [0.0000, 0.0000, 0.0000]]
}



Record 7
{
  "formula": "CeSm2Te",
  "functional": "PBE",
  "state": "optimized geometry",
  "formation_energy_uncorrected_ev_per_atom": -0.47,
  "sg": "R3m, No. 160",
  "de_polymorph_mev_per_atom": 70,
  "crystal_system": "trigonal",
  "lattice": [[3.9313, 0.0000, 0.0000], [1.9656, 3.4046, 0.0000], [1.9656, 1.1349, 10.0062]],
  "species": ["Ce", "Sm", "Sm", "Te"],
  "frac_coords": [[0.4996, 0.4996, 0.5013], [0.0717, 0.0717, 0.7848], [0.2618, 0.2618, 0.2145], [0.6669, 0.6669, 0.9993]]
}



Record 8
{
  "formula": "UGa2Tc2",
  "functional": "PBE",
  "state": "optimized geometry",
  "ef_ev_per_atom": -0.14,
  "sg": "P2_1/c, No. 14",
  "crystal_system": "monoclinic",
  "lattice": [[5.5458, 0.0000, -0.1376], [0.0000, 6.0767, 0.0000], [-1.0860, 0.0000, 10.4254]],
  "species": ["U", "U", "U", "U", "Tc", "Tc", "Tc", "Tc", "Tc", "Tc", "Tc", "Tc", "Ga", "Ga", "Ga", "Ga", "Ga", "Ga", "Ga", "Ga"],
  "frac_coords": [[0.8168, 0.0870, 0.3073], [0.3168, 0.4130, 0.3073], [0.6832, 0.5870, 0.6927], [0.1832, 0.9130, 0.6927], [0.8490, 0.3993, 0.8744], [0.1652, 0.6864, 0.5066], [0.6652, 0.8136, 0.5066], [0.8348, 0.3136, 0.4934], [0.3490, 0.1007, 0.8744], [0.1510, 0.6007, 0.1256], [0.3348, 0.1864, 0.4934], [0.6510, 0.8993, 0.1256], [0.6080, 0.3640, 0.0809], [0.1080, 0.1360, 0.0809], [0.6849, 0.0989, 0.7031], [0.1849, 0.4011, 0.7031], [0.8920, 0.8640, 0.9191], [0.3151, 0.9011, 0.2969], [0.8151, 0.5989, 0.2969], [0.3920, 0.6360, 0.9191]]
}



Record 9
{
  "formula": "La2Al2Si",
  "functional": "PBE",
  "state": "optimized geometry",
  "formation_energy_uncorrected_ev_per_atom": -0.36,
  "sg": "P4/mbm, No. 127",
  "crystal_system": "tetragonal",
  "lattice": [[-5.4112, -1.7567, 4.2709], [-3.9483, -1.6526, -5.6822], [1.6421, -4.5883, 0.1934]],
  "species": ["Si", "Si", "Al", "Al", "Al", "Al", "La", "La", "La", "La"],
  "frac_coords": [[0.0000, 0.0000, 0.0000], [0.5000, 0.5000, 0.0000], [0.6325, 0.1325, 0.0000], [0.3675, 0.8675, 0.0000], [0.1325, 0.3675, 0.0000], [0.8675, 0.6325, 0.0000], [0.6727, 0.8273, 0.5000], [0.1727, 0.6727, 0.5000], [0.3273, 0.1727, 0.5000], [0.8273, 0.3273, 0.5000]]
}



Record 10
{
  "formula": "PuMnSiC",
  "functional": "PBE",
  "state": "optimized geometry",
  "formation_energy_uncorrected_ev_per_atom": -0.22,
  "sg": "P4/nmm, No. 129",
  "crystal_system": "tetragonal",
  "lattice": [[-2.1291, 1.2945, -2.6373], [0.4762, -3.0620, -1.8873], [-6.9540, -3.4868, 3.9024]],
  "species": ["Mn", "Mn", "C", "C", "Pu", "Pu", "Si", "Si"],
  "frac_coords": [[0.5000, 0.5000, 0.5000], [0.0000, 0.0000, 0.5000], [0.5000, 0.0000, 0.8845], [0.0000, 0.5000, 0.1155], [0.5000, 0.0000, 0.1503], [0.0000, 0.5000, 0.8497], [0.0000, 0.5000, 0.3287], [0.5000, 0.0000, 0.6713]]
}



Record 11
{
  "formula": "BaSbAs2P",
  "functional": "PBE",
  "state": "optimized geometry",
  "formation_energy_uncorrected_ev_per_atom": 1.31,
  "sg": "P4/mmm, No. 123",
  "crystal_system": "tetragonal",
  "lattice": [[-0.8347, 3.3931, -4.5602], [-2.1767, -4.2459, -2.7608], [-5.2118, 1.3826, 1.9827]],
  "species": ["P", "As", "As", "Sb", "Ba"],
  "frac_coords": [[0.0000, 0.5000, 0.0000], [0.0000, 0.0000, 0.5000], [0.5000, 0.0000, 0.0000], [0.5000, 0.5000, 0.5000], [0.0000, 0.0000, 0.0000]]
}



Record 12
{
  "formula": "RbGeO2",
  "functional": "PBE",
  "state": "optimized geometry",
  "formation_energy_uncorrected_ev_per_atom": -1.33,
  "sg": "Ama2, No. 40",
  "crystal_system": "orthorhombic",
  "lattice": [[5.2424, 0.0000, 0.0000], [0.0000, 5.3946, -2.6093], [0.0000, -0.2409, 6.3832]],
  "species": ["Ge", "Ge", "O", "O", "O", "O", "Rb", "Rb"],
  "frac_coords": [[0.5000, 0.2868, 0.5000], [0.0000, 0.2868, 0.5000], [0.7500, 0.5387, 0.6443], [0.2500, 0.3642, 0.7504], [0.7500, 0.1138, 0.2496], [0.2500, 0.3944, 0.3557], [0.2500, 0.9376, 0.8595], [0.7500, 0.5781, 0.1405]]
}



Record 13
{
  "formula": "ReIr8Ru3",
  "functional": "PBE",
  "state": "optimized geometry",
  "ef_ev_per_atom": 0.61,
  "sg": "I4/mmm, No. 139",
  "crystal_system": "tetragonal",
  "lattice": [[-3.8421, 5.4979, -2.6667], [-1.8862, -6.7118, 1.8694], [2.4142, -1.3828, 6.6604]],
  "species": ["Ir", "Ir", "Ir", "Ir", "Ir", "Ir", "Ir", "Ir", "Ru", "Ru", "Ru", "Re"],
  "frac_coords": [[0.5022, 0.8757, 0.8757], [0.5021, 0.6265, 0.6265], [0.0000, 0.6265, 0.1243], [0.4979, 0.1244, 0.1244], [0.0000, 0.3735, 0.8756], [0.0000, 0.1243, 0.6265], [0.4978, 0.3735, 0.3735], [0.0000, 0.8756, 0.3735], [0.5000, 0.7500, 0.2500], [0.0000, 0.5000, 0.5000], [0.5000, 0.2500, 0.7500], [0.0000, 0.0000, 0.0000]]
}



Record 14
{
  "formula": "Dy4Ho3Cd",
  "functional": "PBE",
  "state": "optimized geometry",
  "ef_ev_per_atom": -0.06,
  "sg": "P4/mmm, No. 123",
  "crystal_system": "tetragonal",
  "lattice": [[-1.9481, 0.4982, -2.9188], [-2.6917, -1.7537, 1.4972], [-6.6523, 16.3892, 7.2377]],
  "species": ["Dy", "Dy", "Dy", "Dy", "Ho", "Ho", "Ho", "Cd"],
  "frac_coords": [[0.0000, 0.0000, 0.8904], [0.0000, 0.0000, 0.6305], [0.0000, 0.0000, 0.3695], [0.0000, 0.0000, 0.1096], [0.5000, 0.5000, 0.5000], [0.5000, 0.5000, 0.2392], [0.5000, 0.5000, 0.7608], [0.5000, 0.5000, 0.0000]]
}



Record 15
{
  "formula": "BaSr2HgO",
  "functional": "PBE",
  "state": "optimized geometry",
  "formation_energy_uncorrected_ev_per_atom": -1.22,
  "sg": "P4/mmm, No. 123",
  "crystal_system": "tetragonal",
  "lattice": [[5.1380, 0.0000, 0.0000], [0.0000, 5.1380, 0.0000], [0.0000, 0.0000, 5.7439]],
  "species": ["O", "Sr", "Sr", "Hg", "Ba"],
  "frac_coords": [[0.0000, 0.0000, 0.0000], [0.0000, 0.5000, 0.0000], [0.5000, 0.0000, 0.0000], [0.5000, 0.5000, 0.5000], [0.0000, 0.0000, 0.5000]]
}



Record 16
{
  "formula": "TbSeS",
  "functional": "PBE",
  "state": "optimized geometry",
  "formation_energy_uncorrected_ev_per_atom": -1.68,
  "sg": "Immm, No. 71",
  "de_polymorph_mev_per_atom": 0,
  "crystal_system": "orthorhombic",
  "lattice": [[-2.2663, 2.7421, 1.9595], [-2.2802, 1.4883, -4.7201], [-2.4572, -6.6387, 2.2393]],
  "species": ["Tb", "Tb", "Se", "Se", "S", "S"],
  "frac_coords": [[0.8449, 0.3449, 0.6899], [0.1551, 0.6551, 0.3101], [0.5000, 0.2786, 0.0000], [0.5000, 0.7214, 0.0000], [0.2117, 0.2117, 0.4233], [0.7883, 0.7883, 0.5767]]
}



Record 17
{
  "formula": "ReRh2Se",
  "functional": "PBE",
  "state": "optimized geometry",
  "formation_energy_uncorrected_ev_per_atom": 0.51,
  "sg": "Cmm2, No. 35",
  "crystal_system": "orthorhombic",
  "lattice": [[-0.1278, 2.7706, 0.0444], [0.0838, -1.3501, 2.4218], [9.1343, 0.4227, -0.0802]],
  "species": ["Rh", "Rh", "Se", "Re"],
  "frac_coords": [[0.0000, 0.0000, 0.9952], [0.5000, 0.5000, 0.2526], [0.0000, 0.0000, 0.4951], [0.5000, 0.5000, 0.7571]]
}



Record 18
{
  "formula": "Na3Cd3OsO8",
  "functional": "PBE",
  "state": "optimized geometry",
  "formation_energy_uncorrected_ev_per_atom": -1.22,
  "sg": "R-3m, No. 166",
  "crystal_system": "trigonal",
  "lattice": [[-3.5982, -0.8503, 5.6703], [2.1886, -5.3908, -3.4603], [4.3235, 3.8727, 3.3244]],
  "species": ["Os", "Na", "Na", "Na", "Cd", "Cd", "Cd", "O", "O", "O", "O", "O", "O", "O", "O"],
  "frac_coords": [[0.0000, 0.0000, 0.5000], [0.0000, 0.0000, 0.0000], [0.5000, 0.5000, 0.0000], [0.0000, 0.5000, 0.0000], [0.5000, 0.0000, 0.5000], [0.5000, 0.5000, 0.5000], [0.0000, 0.5000, 0.5000], [0.7996, 0.0018, 0.7040], [0.2667, 0.5335, 0.3003], [0.2004, 0.9982, 0.2960], [0.7978, 0.9982, 0.2960], [0.7978, 0.5955, 0.2958], [0.7333, 0.4665, 0.6997], [0.2022, 0.0018, 0.7040], [0.2022, 0.4045, 0.7042]]
}



Record 19
{
  "formula": "InGa5",
  "functional": "PBE",
  "state": "optimized geometry",
  "ef_ev_per_atom": 0.06,
  "sg": "Immm, No. 71",
  "de_polymorph_mev_per_atom": 37,
  "crystal_system": "orthorhombic",
  "lattice": [[-2.2216, 2.7521, 0.7908], [-0.6861, 0.0023, 6.3700], [3.5196, 4.3183, 3.1643]],
  "species": ["In", "Ga", "Ga", "Ga", "Ga", "Ga"],
  "frac_coords": [[0.5000, 0.5000, 0.5000], [0.1550, 0.6332, 0.0569], [0.8450, 0.3668, 0.9431], [0.1550, 0.0569, 0.6332], [0.8450, 0.9431, 0.3668], [0.5000, 0.0000, 0.0000]]
}



Record 20
{
  "formula": "RbScNi3",
  "functional": "PBE",
  "state": "optimized geometry",
  "ef_ev_per_atom": 1.76,
  "sg": "Pm-3m, No. 221",
  "de_polymorph_mev_per_atom": 852,
  "crystal_system": "cubic",
  "lattice": [[4.6822, 0.0000, 0.0000], [0.0000, 4.6822, 0.0000], [0.0000, 0.0000, 4.6822]],
  "species": ["Ni", "Ni", "Ni", "Sc", "Rb"],
  "frac_coords": [[0.0000, 0.5000, 0.0000], [0.0000, 0.0000, 0.5000], [0.5000, 0.0000, 0.0000], [0.5000, 0.5000, 0.5000], [0.0000, 0.0000, 0.0000]]
}



Record 21
{
  "formula": "ZrInAg",
  "functional": "PBE",
  "state": "optimized geometry",
  "ef_ev_per_atom": -0.13,
  "sg": "Cm, No. 8",
  "crystal_system": "monoclinic",
  "lattice": [[-3.4816, -5.0312, -1.2568], [4.5937, -2.1238, 0.9324], [0.6344, -1.4778, 4.1506]],
  "species": ["Ag", "Ag", "In", "In", "Zr", "Zr"],
  "frac_coords": [[0.0112, 0.4109, 0.0583], [0.1717, 0.0669, 0.7302], [0.6865, 0.0852, 0.7209], [0.3223, 0.7299, 0.3988], [0.8338, 0.7461, 0.3909], [0.5048, 0.4074, 0.0598]]
}



| no. | E (eV for the cell shown) |
| --- | --- |
| 1 | -356.33 |
| 2 | -67.75 |
| 3 | -42.53 |
| 4 | -16.50 |
| 5 | -18.84 |
| 6 | -14.02 |
| 7 | -20.38 |
| 8 | -155.07 |
| 9 | -49.15 |
| 10 | -78.03 |
| 11 | -14.19 |
| 12 | -41.63 |
| 13 | -103.90 |
| 14 | -33.55 |
| 15 | -16.65 |
| 16 | -34.55 |
| 17 | -28.61 |
| 18 | -75.89 |
| 19 | -17.50 |
| 20 | -15.86 |
| 21 | -29.03 |